Entry 1:
Entry from Alexandria via LeMat-Bulk: a geometry-optimized Tb6Er2Th structure (PBE). Values from VASP.

Geometry as Quantum ESPRESSO input:
```
&SYSTEM
  ibrav = 0, nat = 9, ntyp = 3
/
ATOMIC_SPECIES
Tb 158.93 Tb.upf
Er 167.26 Er.upf
Th 232.04 Th.upf
CELL_PARAMETERS angstrom
6.9231 0.0000 0.0000
3.4616 5.9956 0.0000
3.4616 1.9985 7.7047
ATOMIC_POSITIONS crystal
Tb 0.7707 0.2817 0.6652
Tb 0.2825 0.7707 0.6652
Tb 0.2817 0.2825 0.6652
Tb 0.0554 0.5611 0.3275
Tb 0.0561 0.0554 0.3275
Tb 0.5611 0.0561 0.3275
Er 0.7407 0.7407 0.7780
Er 0.5809 0.5809 0.2573
Th 0.3368 0.3368 0.9897
```

Results
The calculation puts the energy above the most stable polymorph in this dataset at 368 meV per atom.

Entry 2:
Entry from Alexandria via LeMat-Bulk: a geometry-optimized Tb3Er4Th5 structure (PBE). Values from VASP.

Geometry as Quantum ESPRESSO input:
```
&SYSTEM
  ibrav = 0, nat = 12, ntyp = 3
/
ATOMIC_SPECIES
Tb 158.93 Tb.upf
Er 167.26 Er.upf
Th 232.04 Th.upf
CELL_PARAMETERS angstrom
5.5627 0.0000 0.0000
2.7813 9.0441 -2.2383
2.7813 0.6884 8.2020
ATOMIC_POSITIONS crystal
Tb 0.4903 0.7450 0.2744
Tb 0.0000 0.5000 0.5000
Tb 0.5097 0.2550 0.7256
Er 0.8138 0.4917 0.8807
Er 0.0567 0.0734 0.8131
Er 0.9433 0.9266 0.1869
Er 0.1862 0.5083 0.1193
Th 0.2321 0.7229 0.8129
Th 0.5000 0.5000 0.5000
Th 0.2253 0.1252 0.4243
Th 0.7747 0.8748 0.5757
Th 0.7679 0.2771 0.1871
```

Entry 3:
Entry from Alexandria via LeMat-Bulk: a geometry-optimized Tb7ErTh2 structure (PBE). Values from VASP.

Geometry as Quantum ESPRESSO input:
```
&SYSTEM
  ibrav = 0, nat = 10, ntyp = 3
/
ATOMIC_SPECIES
Tb 158.93 Tb.upf
Er 167.26 Er.upf
Th 232.04 Th.upf
CELL_PARAMETERS angstrom
-3.4198 0.4960 -0.5040
-1.6884 -9.9739 1.6413
-0.6085 4.9195 8.9695
ATOMIC_POSITIONS crystal
Tb 0.0000 0.6692 0.3308
Tb 0.0000 0.3308 0.6692
Tb 0.5000 0.1306 0.3832
Tb 0.5000 0.8694 0.6168
Tb 0.5000 0.3832 0.1306
Tb 0.5000 0.6168 0.8694
Tb 0.5000 0.5000 0.5000
Er 0.0000 0.0000 0.0000
Th 0.5000 0.8270 0.1730
Th 0.5000 0.1730 0.8270
```

Results
The calculation puts the energy above the most stable polymorph in this dataset at 0 meV per atom.

Entry 4:
Entry from Alexandria via LeMat-Bulk: a geometry-optimized TbErTh structure (PBE). Values from VASP.

Geometry as Quantum ESPRESSO input:
```
&SYSTEM
  ibrav = 0, nat = 12, ntyp = 3
/
ATOMIC_SPECIES
Tb 158.93 Tb.upf
Er 167.26 Er.upf
Th 232.04 Th.upf
CELL_PARAMETERS angstrom
-5.7591 -7.9161 -2.2477
4.7723 1.4070 5.0312
1.2461 9.3319 8.5365
ATOMIC_POSITIONS crystal
Tb 0.7500 0.2500 0.5000
Tb 0.2500 0.2500 0.5000
Tb 0.7500 0.7500 0.5000
Tb 0.2500 0.7500 0.5000
Er 0.7453 0.4169 0.1600
Er 0.2453 0.9169 0.1600
Er 0.7547 0.0831 0.8400
Er 0.2547 0.5831 0.8400
Th 0.7508 0.5791 0.8348
Th 0.7492 0.9209 0.1652
Th 0.2508 0.0791 0.8348
Th 0.2492 0.4209 0.1652
```

Results
The calculation puts the energy above the most stable polymorph in this dataset at 6 meV per atom.

Entry 5:
Entry from Alexandria via LeMat-Bulk: a geometry-optimized Tb6Er16Th7 structure (PBE). Values from VASP.

Geometry as Quantum ESPRESSO input:
```
&SYSTEM
  ibrav = 0, nat = 29, ntyp = 3
/
ATOMIC_SPECIES
Tb 158.93 Tb.upf
Er 167.26 Er.upf
Th 232.04 Th.upf
CELL_PARAMETERS angstrom
9.6958 0.0000 5.5979
3.2319 9.1413 5.5979
0.0000 0.0000 11.1957
ATOMIC_POSITIONS crystal
Tb 0.2544 0.7456 0.2544
Tb 0.7456 0.2544 0.7456
Tb 0.7456 0.2544 0.2544
Tb 0.2544 0.7456 0.7456
Tb 0.7456 0.7456 0.2544
Tb 0.2544 0.2544 0.7456
Er 0.8706 0.8706 0.3882
Er 0.8706 0.8706 0.8706
Er 0.8706 0.3882 0.8706
Er 0.3882 0.8706 0.8706
Er 0.1294 0.1294 0.1294
Er 0.1294 0.1294 0.6118
Er 0.1294 0.6118 0.1294
Er 0.6118 0.1294 0.1294
Er 0.6536 0.6536 0.0391
Er 0.6536 0.6536 0.6536
Er 0.6536 0.0391 0.6536
Er 0.0391 0.6536 0.6536
Er 0.3464 0.3464 0.3464
Er 0.3464 0.3464 0.9609
Er 0.3464 0.9609 0.3464
Er 0.9609 0.3464 0.3464
Th 0.0000 0.0000 0.0000
Th 0.5000 0.0000 0.5000
Th 0.0000 0.5000 0.0000
Th 0.0000 0.5000 0.5000
Th 0.5000 0.0000 0.0000
Th 0.0000 0.0000 0.5000
Th 0.5000 0.5000 0.0000
```

Entry 6:
Entry from Alexandria via LeMat-Bulk: a geometry-optimized Tb2ErTh5 structure (PBE). Values from VASP.

Geometry as Quantum ESPRESSO input:
```
&SYSTEM
  ibrav = 0, nat = 8, ntyp = 3
/
ATOMIC_SPECIES
Tb 158.93 Tb.upf
Er 167.26 Er.upf
Th 232.04 Th.upf
CELL_PARAMETERS angstrom
5.5336 0.0000 0.0000
0.0000 7.3257 0.0000
0.0000 0.0000 7.3257
ATOMIC_POSITIONS crystal
Tb 0.5000 0.5000 0.0000
Tb 0.5000 0.0000 0.5000
Er 0.0000 0.0000 0.0000
Th 0.0000 0.7137 0.7137
Th 0.0000 0.2863 0.7137
Th 0.0000 0.7137 0.2863
Th 0.5000 0.0000 0.0000
Th 0.0000 0.2863 0.2863
```

Results
The calculation puts the energy above the most stable polymorph in this dataset at 800 meV per atom.

Entry 7:
Entry from Alexandria via LeMat-Bulk: a geometry-optimized Tb2Er8Th structure (PBE). Values from VASP.

Geometry as Quantum ESPRESSO input:
```
&SYSTEM
  ibrav = 0, nat = 11, ntyp = 3
/
ATOMIC_SPECIES
Tb 158.93 Tb.upf
Er 167.26 Er.upf
Th 232.04 Th.upf
CELL_PARAMETERS angstrom
-0.0059 0.8893 4.9126
-7.8673 0.4755 -0.0955
1.8251 -9.1076 -0.8859
ATOMIC_POSITIONS crystal
Tb 0.7719 0.3639 0.5438
Tb 0.2281 0.6361 0.4562
Er 0.4098 0.5470 0.8196
Er 0.6805 0.9075 0.3609
Er 0.8646 0.8205 0.7293
Er 0.9553 0.2688 0.9106
Er 0.1354 0.1795 0.2707
Er 0.3195 0.0925 0.6391
Er 0.5902 0.4530 0.1804
Er 0.0447 0.7312 0.0894
Th 0.5000 0.0000 0.0000
```

Entry 8:
Entry from Alexandria via LeMat-Bulk: a geometry-optimized Tb3Er8Th structure (PBE). Values from VASP.

Geometry as Quantum ESPRESSO input:
```
&SYSTEM
  ibrav = 0, nat = 12, ntyp = 3
/
ATOMIC_SPECIES
Tb 158.93 Tb.upf
Er 167.26 Er.upf
Th 232.04 Th.upf
CELL_PARAMETERS angstrom
6.6629 0.0000 -3.7691
-2.1321 6.3125 -3.7691
0.8486 1.1824 9.2739
ATOMIC_POSITIONS crystal
Tb 0.2500 0.7500 0.5000
Tb 0.5000 0.5000 0.0000
Tb 0.7500 0.2500 0.5000
Er 0.8749 0.3741 0.2490
Er 0.3741 0.3741 0.2490
Er 0.1251 0.1251 0.7510
Er 0.6259 0.1251 0.7510
Er 0.3741 0.8749 0.2490
Er 0.8749 0.8749 0.2490
Er 0.6259 0.6259 0.7510
Er 0.1251 0.6259 0.7510
Th 0.0000 0.0000 0.0000
```

| no. | energy of formation from the pure elements (eV per formula unit) | energy (eV per atom) |
| --- | --- | --- |
| 1 | 3.82 | -4.50 |
| 2 | 6.37 | -5.24 |
| 3 | 4.57 | -4.72 |
| 4 | 0.08 | -5.51 |
| 5 | 7.82 | -5.00 |
| 6 | 6.85 | -5.51 |
| 7 | 0.30 | -4.81 |
| 8 | 9.36 | -4.04 |